# 1
Below is HgTe2Se2 at its PBEsol-relaxed geometry, with properties calculated at the meta-GGA SCAN level.

Values from the calculation:
Spin magnetization   0.0 μB per cell
Density of states at the Fermi level   2.9 states/eV per cell
Raw formation energy   26 kJ/mol of formula units

Cell: 5.804 5.804 10.379 Å, 90.00 90.00 90.00°
Space group I4/mmm (No. 139)
Inequivalent atoms, fractional coordinates:
Hg (0.000, 0.000, 0.000) x2
Te (0.000, 0.000, 0.255) x4
Se (0.000, 0.500, 0.250) x4

=====

# 2
Below is Sc2AlTe at its PBEsol-relaxed geometry, with properties calculated at the meta-GGA SCAN level.

Values from the calculation:
Spin magnetization   0.0 μB per cell
Density of states at the Fermi level   4.2 states/eV per cell
Raw formation energy   -250 kJ/mol of formula units

Cell: 4.157 3.858 10.610 Å, 90.00 90.00 90.00°
Space group Amm2 (No. 38)
Inequivalent atoms, fractional coordinates:
Sc (0.000, 0.000, 0.000) x2
Sc (0.500, 0.000, 0.276) x2
Al (0.500, 0.000, 0.532) x2
Te (0.000, 0.000, 0.724) x2